VASP calculation (PBE-GGA) on BaZrCl after structural relaxation.

Output
- Formation energy (no corrections): -317 meV/atom
- Excess energy over the best structure of this formula in the dataset: 151 meV/atom

```
data_BaZrCl
_cell_length_a 3.454
_cell_length_b 3.454
_cell_length_c 14.098
_cell_angle_alpha 90.00
_cell_angle_beta 90.00
_cell_angle_gamma 90.00
_symmetry_space_group_name_H-M 'I 4 m m'
_symmetry_Int_Tables_number 107
_symmetry_space_group_name_Hall 'I 4 -2'
loop_
_atom_site_label
_atom_site_fract_x
_atom_site_fract_y
_atom_site_fract_z
Ba1 0.000 0.000 0.000
Zr1 0.000 0.000 0.700
Cl1 0.000 0.000 0.314
```

---

VASP calculation (PBE-GGA) on BaZrCl6 after structural relaxation.

Output
- Formation energy (no corrections): -2048 meV/atom
- Excess energy over the best structure of this formula in the dataset: 6 meV/atom

```
data_BaZrCl6
_cell_length_a 7.326
_cell_length_b 11.398
_cell_length_c 6.727
_cell_angle_alpha 90.00
_cell_angle_beta 104.44
_cell_angle_gamma 90.00
_symmetry_space_group_name_H-M 'C 1 2/m 1'
_symmetry_Int_Tables_number 12
loop_
_symmetry_equiv_pos_as_xyz
'x,y,z'
'-x,-y,-z'
'-x,y,-z'
'x,-y,z'
'x+1/2,y+1/2,z'
'-x+1/2,-y+1/2,-z'
'-x+1/2,y+1/2,-z'
'x+1/2,-y+1/2,z'
loop_
_atom_site_label
_atom_site_fract_x
_atom_site_fract_y
_atom_site_fract_z
Ba1 0.000 0.000 0.000
Zr1 0.000 0.500 0.500
Cl1 0.173 0.346 0.739
Cl2 0.242 0.000 0.680
```

---

VASP calculation (PBE-GGA) on Ba2ZrCl2 after structural relaxation.

Output
- Formation energy (no corrections): -815 meV/atom

```
data_Ba2ZrCl2
_cell_length_a 6.474
_cell_length_b 6.474
_cell_length_c 8.926
_cell_angle_alpha 90.00
_cell_angle_beta 90.00
_cell_angle_gamma 90.00
_symmetry_space_group_name_H-M 'I 4/m m m'
_symmetry_Int_Tables_number 139
_symmetry_space_group_name_Hall '-I 4 2'
loop_
_atom_site_label
_atom_site_fract_x
_atom_site_fract_y
_atom_site_fract_z
Ba1 0.000 0.500 0.250
Zr1 0.000 0.000 0.000
Cl1 0.000 0.000 0.288
```

---

VASP calculation (PBE-GGA) on Ba2ZrCl after structural relaxation.

Output
- Formation energy (no corrections): -138 meV/atom
- Excess energy over the best structure of this formula in the dataset: 273 meV/atom

```
data_Ba2ZrCl
_cell_length_a 3.956
_cell_length_b 6.407
_cell_length_c 11.281
_cell_angle_alpha 90.00
_cell_angle_beta 90.00
_cell_angle_gamma 90.00
_symmetry_space_group_name_H-M 'C m m 2'
_symmetry_Int_Tables_number 35
loop_
_symmetry_equiv_pos_as_xyz
'x,y,z'
'-x,-y,z'
'-x,y,z'
'x,-y,z'
'x+1/2,y+1/2,z'
'-x+1/2,-y+1/2,z'
'-x+1/2,y+1/2,z'
'x+1/2,-y+1/2,z'
loop_
_atom_site_label
_atom_site_fract_x
_atom_site_fract_y
_atom_site_fract_z
Ba1 0.000 0.000 0.000
Ba2 0.000 0.500 0.350
Zr1 0.000 0.000 0.604
Cl1 0.000 0.500 0.772
```